# 1
Here is crystalline Ac3La2Nd5 at its relaxed geometry from Alexandria via LeMat-Bulk. Energies are from PBE.

Cell lengths 10.016, 10.017, 11.976 Å; angles 126.62, 126.56, 65.24 degrees
Sites, in units of the cell vectors:
Ac 0.080 0.818 0.351
Ac 0.322 0.571 0.845
Ac 0.272 0.029 0.950
Ac 0.920 0.182 0.649
Ac 0.728 0.971 0.050
Ac 0.678 0.429 0.155
La 0.571 0.332 0.354
La 0.823 0.075 0.848
La 0.429 0.668 0.646
La 0.177 0.925 0.152
Nd 0.972 0.725 0.550
Nd 0.224 0.479 0.054
Nd 0.472 0.221 0.547
Nd 0.028 0.275 0.450
Nd 0.379 0.122 0.747
Nd 0.621 0.878 0.253
Nd 0.873 0.629 0.748
Nd 0.127 0.371 0.252
Nd 0.776 0.521 0.946
Nd 0.528 0.779 0.453

Output
For the spin magnetization, the calculation gives 0.00 μB/f.u. As for the space group: P-1 (2). As for the calculated formation energy: 0.03 eV per atom.

# 2
Here is crystalline Ac4LaNd4 at its relaxed geometry from Alexandria via LeMat-Bulk. Energies are from PBE.

Cell lengths 5.403, 8.578, 8.578 Å; angles 84.31, 71.64, 71.64 degrees
Sites, in units of the cell vectors:
Ac 0.667 0.667 0.000
Ac 0.333 0.333 0.000
Ac 0.667 0.000 0.667
Ac 0.333 0.000 0.333
Nd 0.000 0.660 0.340
Nd 0.000 0.340 0.660
Nd 0.340 0.660 0.660
Nd 0.660 0.340 0.340
La 0.000 0.000 0.000

Output
For the spin magnetization, the calculation gives 0.00 μB/f.u. As for the space group: I4/mmm (139). As for the calculated formation energy: 0.03 eV per atom.

# 3
Here is crystalline Ac3LaNd4 at its relaxed geometry from Alexandria via LeMat-Bulk. Energies are from PBE.

Cell lengths 6.629, 7.695, 12.329 Å; angles 90.00, 90.00, 90.00 degrees
Sites, in units of the cell vectors:
Ac 0.987 0.634 0.753
Ac 0.987 0.634 0.247
Ac 0.487 0.366 0.747
Ac 0.487 0.366 0.253
Ac 0.635 0.631 0.000
Ac 0.135 0.369 0.500
Nd 0.153 0.891 0.000
Nd 0.653 0.109 0.500
Nd 0.476 0.882 0.749
Nd 0.157 0.880 0.500
Nd 0.976 0.118 0.249
Nd 0.976 0.118 0.751
Nd 0.657 0.120 0.000
Nd 0.476 0.882 0.251
La 0.645 0.633 0.500
La 0.145 0.367 0.000

Output
For the spin magnetization, the calculation gives 0.00 μB/f.u. As for the space group: Pmn2_1 (31). The offset from the most stable computed form is 0.018 eV/atom. As for the calculated formation energy: 0.05 eV per atom.

# 4
Here is crystalline Ac2La4Nd5 at its relaxed geometry from Alexandria via LeMat-Bulk. Energies are from PBE.

Cell lengths 6.982, 9.329, 10.784 Å; angles 40.16, 71.11, 68.02 degrees
Sites, in units of the cell vectors:
La 0.753 0.666 0.827
La 0.586 0.228 0.599
La 0.414 0.772 0.401
La 0.247 0.334 0.173
Nd 0.651 0.272 0.902
Nd 0.175 0.272 0.902
Nd 0.349 0.728 0.098
Nd 0.000 0.500 0.500
Nd 0.825 0.728 0.098
Ac 0.801 0.080 0.318
Ac 0.199 0.920 0.682

Output
For the spin magnetization, the calculation gives 0.00 μB/f.u. As for the space group: C2/m (12). The offset from the most stable computed form is 0.021 eV/atom. As for the calculated formation energy: 0.13 eV per atom.

| no. | DOS at the Fermi energy (states/eV/cell) |
| --- | --- |
| 1 | 36.441 |
| 2 | 17.643 |
| 3 | 29.265 |
| 4 | 18.740 |